Compound: Sc2AsSe
Source: Alexandria
Functional: SCAN
Structure: single point on PBEsol structure

Structure (POSCAR):
```
Sc2AsSe
1.0
-1.305 -1.759 -4.196
-0.358 -4.682 -0.595
-4.259 -2.002 -0.505
As Sc Se
1 2 1
Cartesian
0.000 0.000 0.000 As
-1.481 -2.111 -1.324 Sc
-4.442 -6.333 -3.972 Sc
-2.962 -4.222 -2.648 Se
```

Its space-group type is Fm-3m (225). The volume is 18.748 A^3/atom. The offset from the most stable computed form comes out at 511 meV per atom.

***

Compound: CsYSeN2
Source: Alexandria
Functional: SCAN
Structure: single point on PBEsol structure

Structure (POSCAR):
```
CsYSeN2
1.0
4.243 0.000 0.000
0.000 4.243 0.000
0.000 0.000 6.112
Cs Y Se N
1 1 1 2
Cartesian
0.000 0.000 0.000 Cs
2.122 2.122 3.056 Y
0.000 0.000 3.056 Se
0.000 2.122 0.000 N
2.122 0.000 0.000 N
```

Its space-group type is P4/mmm (123). The volume is 22.008 A^3/atom.

***

Compound: Cs2RbSb2
Source: Alexandria
Functional: SCAN
Structure: single point on PBEsol structure

Structure (POSCAR):
```
Cs2RbSb2
1.0
-3.990 -3.224 2.661
-3.702 -2.118 -8.117
5.503 -7.309 -0.603
Cs Sb Rb
4 4 2
Cartesian
1.060 -6.851 -0.437 Cs
0.110 -9.107 -4.594 Cs
-3.248 -5.800 -5.622 Cs
-2.298 -3.544 -1.465 Cs
3.458 -7.351 -3.720 Sb
0.043 -6.333 -7.607 Sb
-1.657 -2.076 -4.999 Sb
1.758 -3.094 -1.112 Sb
0.000 0.000 0.000 Rb
0.901 -4.714 -4.360 Rb
```

Its space-group type is P4/mbm (127). The volume is 48.585 A^3/atom. The offset from the most stable computed form comes out at 0 meV per atom.

***

Compound: IrRuAu2
Source: Alexandria
Functional: SCAN
Structure: single point on PBEsol structure

Structure (POSCAR):
```
IrRuAu2
1.0
2.780 0.000 0.000
-1.390 4.597 -0.002
0.000 -0.833 4.752
Au Ir Ru
2 1 1
Cartesian
1.390 1.661 3.554 Au
0.000 2.103 1.196 Au
1.390 0.000 0.000 Ir
0.000 -0.416 2.376 Ru
```

Its space-group type is C2/m (12). The volume is 15.181 A^3/atom. For the formation energy, the calculation gives 431 meV per atom. The offset from the most stable computed form comes out at 0 meV per atom.

***

Compound: Bi2CSe2
Source: Alexandria
Functional: SCAN
Structure: single point on PBEsol structure

Structure (POSCAR):
```
Bi2CSe2
1.0
-0.323 4.321 -3.939
-5.381 1.936 2.565
3.195 3.761 3.864
C Bi Se
2 4 4
Cartesian
0.000 0.000 0.000 C
-1.093 2.849 3.215 C
0.975 5.244 1.320 Bi
-1.467 6.505 2.903 Bi
-3.484 4.775 1.171 Bi
-1.042 3.514 -0.413 Bi
1.040 3.333 3.572 Se
-1.682 4.264 4.816 Se
-3.226 2.364 2.858 Se
-0.504 1.434 1.614 Se
```

Its space-group type is P4/mbm (127). The volume is 23.007 A^3/atom. The offset from the most stable computed form comes out at 90 meV per atom.

***

Compound: SbP4O12
Source: Alexandria
Functional: SCAN
Structure: single point on PBEsol structure

Structure (POSCAR):
```
SbP4O12
1.0
-2.031 -6.585 1.827
7.114 -3.297 -5.023
7.538 0.539 10.323
Sb P O
4 16 48
Cartesian
8.170 -4.496 5.667 Sb
4.066 -6.106 9.734 Sb
4.451 -4.849 1.460 Sb
8.555 -3.238 -2.607 Sb
7.180 -6.714 0.986 P
4.198 -7.327 -1.176 P
1.030 -5.674 1.289 P
2.818 -1.902 0.091 P
9.593 -2.914 2.888 P
7.065 -4.412 9.114 P
8.628 -7.126 3.506 P
11.591 -3.670 5.837 P
3.028 -6.430 4.239 P
5.441 -2.630 6.141 P
9.803 -7.442 7.036 P
3.993 -2.219 3.620 P
4.909 -5.465 6.374 P
5.556 -4.932 -1.987 P
7.712 -3.879 0.753 P
8.423 -2.017 8.303 P
8.755 -6.614 6.376 O
2.294 -2.637 -1.232 O
3.866 -2.730 0.751 O
10.327 -6.708 8.359 O
5.708 -1.709 7.281 O
4.511 -4.224 -2.947 O
7.457 -2.864 9.259 O
11.084 -2.152 5.770 O
4.646 -8.774 -1.216 O
11.017 -7.888 6.259 O
2.631 -1.643 3.410 O
7.975 -0.571 8.343 O
6.048 -6.262 1.875 O
5.258 -4.457 -0.597 O
7.954 -3.044 -0.489 O
5.164 -6.481 -2.132 O
3.897 -6.315 3.027 O
4.307 -2.015 5.194 O
8.667 -2.673 6.984 O
4.743 -3.923 6.773 O
9.034 -3.737 1.652 O
8.724 -3.029 4.100 O
8.382 -5.664 3.821 O
3.954 -6.671 0.143 O
6.913 -7.636 -0.154 O
-0.137 -5.410 2.197 O
3.587 -5.607 5.474 O
1.604 -1.456 0.868 O
7.363 -4.887 7.724 O
7.878 -5.421 0.354 O
9.990 -7.702 3.717 O
8.110 -5.120 10.074 O
6.480 -3.620 1.570 O
6.968 -4.778 -2.454 O
5.155 -1.358 2.933 O
11.029 -3.308 3.057 O
4.667 -6.300 7.615 O
7.466 -7.986 4.193 O
8.314 -7.330 1.933 O
12.758 -3.935 4.930 O
2.243 -4.770 1.378 O
4.239 -3.680 3.305 O
10.378 -4.575 5.749 O
6.573 -3.083 5.251 O
6.141 -5.725 5.556 O
1.592 -6.036 4.070 O
1.537 -7.192 1.357 O
5.653 -4.566 9.581 O
```

Its space-group type is P2_1/c (14). The volume is 12.486 A^3/atom. The offset from the most stable computed form comes out at 10 meV per atom.

***

Compound: Sr2TaMo
Source: Alexandria
Functional: SCAN
Structure: single point on PBEsol structure

Structure (POSCAR):
```
Sr2TaMo
1.0
-1.409 2.010 -2.255
-1.839 -3.144 -1.654
-5.672 1.818 7.628
Mo Sr Ta
1 2 1
Cartesian
-0.704 1.005 -1.127 Mo
-6.670 0.295 1.967 Sr
-2.250 0.389 1.753 Sr
-0.920 -1.572 -0.827 Ta
```

Its space-group type is C2/m (12). The volume is 31.093 A^3/atom. For the formation energy, the calculation gives 721 meV per atom. The offset from the most stable computed form comes out at 0 meV per atom.

***

Compound: Ba2LaMn
Source: Alexandria
Functional: SCAN
Structure: single point on PBEsol structure

Structure (POSCAR):
```
Ba2LaMn
1.0
3.885 0.000 0.031
0.000 3.885 0.000
-0.074 0.000 10.146
Ba La Mn
2 1 1
Cartesian
3.815 0.000 9.467 Ba
1.928 1.943 2.824 Ba
3.842 0.000 5.856 La
1.886 1.943 7.311 Mn
```

Its space-group type is Pm (6). The volume is 38.293 A^3/atom. For the formation energy, the calculation gives 115 meV per atom.

***

Compound: TmGa2Pd
Source: Alexandria
Functional: SCAN
Structure: single point on PBEsol structure

Structure (POSCAR):
```
TmGa2Pd
1.0
-1.092 1.278 3.998
0.726 -5.345 -0.445
6.259 0.728 1.477
Tm Ga Pd
2 4 2
Cartesian
4.725 -0.279 1.380 Tm
1.167 -3.060 3.650 Tm
3.592 -3.107 1.975 Ga
2.300 -0.232 3.055 Ga
-0.172 -0.519 2.472 Ga
6.064 -2.819 2.558 Ga
4.256 -1.629 4.036 Pd
1.637 -1.710 0.994 Pd
```

Its space-group type is Cmcm (63). The volume is 17.397 A^3/atom. For the formation energy, the calculation gives -911 meV per atom.

***

Compound: AlFeRh2
Source: Alexandria
Functional: SCAN
Structure: single point on PBEsol structure

Structure (POSCAR):
```
AlFeRh2
1.0
-2.467 1.433 -0.740
-1.037 -2.445 -1.278
-2.503 -1.641 5.168
Rh Fe Al
2 1 1
Cartesian
-1.884 -1.235 3.891 Rh
-0.619 -0.406 1.278 Rh
-3.003 -1.326 1.575 Fe
-1.752 -0.506 -1.009 Al
```

Its space-group type is P4/mmm (123). The volume is 12.968 A^3/atom. For the formation energy, the calculation gives -807 meV per atom.

***

Compound: ZnPbBr
Source: Alexandria
Functional: SCAN
Structure: single point on PBEsol structure

Structure (POSCAR):
```
ZnPbBr
1.0
3.464 0.000 0.000
0.000 5.033 0.000
0.000 -2.516 4.358
Br Pb Zn
1 1 1
Cartesian
3.409 0.000 0.000 Br
2.361 0.000 2.906 Pb
1.158 2.516 1.453 Zn
```

Its space-group type is P3m1 (156). The volume is 25.326 A^3/atom.

***

Compound: Ca3Ti2O7
Source: Alexandria
Functional: SCAN
Structure: single point on PBEsol structure

Structure (POSCAR):
```
Ca3Ti2O7
1.0
5.392 0.000 0.000
0.000 5.449 0.000
-2.696 0.000 9.651
Ca O Ti
6 14 4
Cartesian
1.372 5.229 0.000 Ca
4.020 2.504 0.000 Ca
1.303 2.947 6.030 Ca
1.393 0.222 3.620 Ca
3.999 2.947 3.620 Ca
-1.303 0.222 6.030 Ca
0.219 4.290 2.174 O
2.477 1.565 7.477 O
-0.219 1.565 2.174 O
2.915 4.290 7.477 O
2.911 3.847 1.617 O
-0.215 1.123 8.034 O
2.481 1.123 1.617 O
0.215 3.847 8.034 O
3.685 5.322 3.820 O
-0.989 2.598 5.830 O
4.440 0.080 0.000 O
0.952 2.805 0.000 O
0.989 5.322 5.830 O
1.707 2.598 3.820 O
-1.346 2.759 7.724 Ti
4.042 0.034 1.926 Ti
1.346 0.034 7.724 Ti
1.350 2.759 1.926 Ti
```

Its space-group type is Cmc2_1 (36). The volume is 11.815 A^3/atom.

***

Listing total energy for the structures above in their given order: -18.39; -19.55; -34.62; -60.63; -40.49; -11.12; -35.78; -35.00; -30.24; -24.16; -36.21; -12.14 eV/atom.